# GGA-PBE HoUPaO6, relaxed
data_HoUPaO6
_symmetry_space_group_name_H-M 'P -3 1 c'
_symmetry_Int_Tables_number 163
_symmetry_space_group_name_Hall '-P 3 2c'
_cell_length_a 5.7647
_cell_length_b 5.7647
_cell_length_c 9.4897
_cell_angle_alpha 90.00
_cell_angle_beta 90.00
_cell_angle_gamma 120.00
loop_
_atom_site_label
_atom_site_type_symbol
_atom_site_fract_x
_atom_site_fract_y
_atom_site_fract_z
Ho1 Ho 0.3333 0.6667 0.2500
U1 U 0.3333 0.6667 0.7500
Pa1 Pa 0.0000 0.0000 0.0000
O1 O 0.0083 0.3314 0.6295
# Density = 8.877 g/cm3
# Density of states at the Fermi level = 0.885 states/eV per atom
# Energy = -9.486 eV/atom
# E_form (uncorrected) = -3.36 eV per atom